(1)
A plane-wave DFT calculation with PBE was carried out for a geometry-optimized Tm6Te3PtSe2 structure.

```
12
Lattice="3.634 -6.290 0.000 3.634 6.290 0.000 -2.408 0.000 6.976" Properties=species:S:1:pos:R:3 pbc="T T T"
Tm 1.131 1.958 1.500
Tm -0.149 0.000 5.429
Tm 1.131 -1.958 1.500
Tm 3.729 1.958 5.476
Tm 5.009 0.000 1.547
Tm 3.729 -1.958 5.476
Te 2.430 4.068 3.488
Te 2.430 0.000 3.488
Te 2.430 -4.068 3.488
Pt 0.000 0.000 0.000
Se 3.634 2.079 0.000
Se 3.634 -2.079 0.000
```

Results
SG: C2/m
E_form (uncorrected) in meV/atom: -1431
Calculated total energy in eV per atom: -5.536

***

(2)
A plane-wave DFT calculation with PBE was carried out for a geometry-optimized Tm8Te4PtSe3 structure.

```
16
Lattice="4.172 2.409 6.950 -4.172 2.409 6.950 0.000 -4.817 6.950" Properties=species:S:1:pos:R:3 pbc="T T T"
Tm 0.000 0.000 5.013
Tm -1.973 -1.139 11.921
Tm 0.000 -2.279 8.930
Tm -1.973 1.139 8.930
Tm 1.973 -1.139 11.921
Tm 0.000 2.279 11.921
Tm 1.973 1.139 8.930
Tm 0.000 0.000 15.838
Te 0.000 0.000 0.000
Te -2.086 -1.204 6.950
Te -2.086 1.204 13.901
Te 0.000 2.409 6.950
Pt 0.000 0.000 10.426
Se -4.172 0.000 10.426
Se -2.086 1.204 3.475
Se 2.086 1.204 3.475
```

Results
SG: R-3m
E_form (uncorrected) in meV/atom: -1421
Calculated total energy in eV per atom: -5.473

***

(3)
A plane-wave DFT calculation with PBE was carried out for a geometry-optimized Tm6Te3Pt2Se structure.

```
12
Lattice="3.575 -6.214 0.000 3.575 6.214 0.000 -2.381 0.000 7.169" Properties=species:S:1:pos:R:3 pbc="T T T"
Tm -0.065 2.179 5.627
Tm 1.070 0.000 1.522
Tm -0.065 -2.179 5.627
Tm 4.834 2.179 1.542
Tm 3.700 0.000 5.647
Tm 4.834 -2.179 1.542
Te -1.190 0.000 3.585
Te 2.385 1.987 3.585
Te 2.385 -1.987 3.585
Pt 3.575 4.127 0.000
Pt 3.575 -4.127 0.000
Se 3.575 0.000 0.000
```

Results
SG: C2/m
E_form (uncorrected) in meV/atom: -1352
Calculated total energy in eV per atom: -5.671